The following is a PBE+U calculation of a geometry-optimized FeH24C2S2N6O14 structure, from Alexandria.

Properties
Its calculated total energy is -551.2 eV per cell. The space-group type is P2_1/c (14).

abc: 10.533 7.636 12.086
angles: 90.00 96.47 90.00
Positions (direct):
Fe (0.000, 0.000, 0.000)
Fe (0.000, 0.500, 0.500)
H (0.008, 0.157, 0.457)
H (0.008, 0.343, 0.957)
H (0.015, 0.006, 0.235)
H (0.015, 0.494, 0.735)
H (0.066, 0.159, 0.815)
H (0.066, 0.341, 0.315)
H (0.109, 0.677, 0.968)
H (0.109, 0.823, 0.468)
H (0.231, 0.046, 0.130)
H (0.231, 0.454, 0.630)
H (0.237, 0.138, 0.013)
H (0.237, 0.362, 0.513)
H (0.332, 0.683, 0.085)
H (0.332, 0.817, 0.585)
H (0.339, 0.666, 0.376)
H (0.339, 0.834, 0.876)
H (0.344, 0.688, 0.706)
H (0.344, 0.812, 0.206)
H (0.368, 0.058, 0.884)
H (0.368, 0.117, 0.595)
H (0.368, 0.383, 0.095)
H (0.368, 0.442, 0.384)
H (0.370, 0.222, 0.723)
H (0.370, 0.278, 0.223)
H (0.630, 0.722, 0.777)
H (0.630, 0.778, 0.277)
H (0.632, 0.558, 0.616)
H (0.632, 0.617, 0.905)
H (0.632, 0.883, 0.405)
H (0.632, 0.942, 0.116)
H (0.656, 0.188, 0.794)
H (0.656, 0.312, 0.294)
H (0.661, 0.166, 0.124)
H (0.661, 0.334, 0.624)
H (0.668, 0.183, 0.415)
H (0.668, 0.317, 0.915)
H (0.763, 0.638, 0.487)
H (0.763, 0.862, 0.987)
H (0.769, 0.546, 0.370)
H (0.769, 0.954, 0.870)
H (0.891, 0.177, 0.532)
H (0.891, 0.323, 0.032)
H (0.934, 0.659, 0.685)
H (0.934, 0.841, 0.185)
H (0.985, 0.506, 0.265)
H (0.985, 0.994, 0.765)
H (0.992, 0.657, 0.043)
H (0.992, 0.843, 0.543)
C (0.366, 0.547, 0.230)
C (0.366, 0.953, 0.730)
C (0.634, 0.047, 0.270)
C (0.634, 0.453, 0.770)
S (0.249, 0.060, 0.371)
S (0.249, 0.440, 0.871)
S (0.751, 0.560, 0.129)
S (0.751, 0.940, 0.629)
N (0.353, 0.694, 0.169)
N (0.353, 0.806, 0.669)
N (0.374, 0.557, 0.342)
N (0.374, 0.943, 0.842)
N (0.376, 0.108, 0.680)
N (0.376, 0.392, 0.180)
N (0.624, 0.608, 0.820)
N (0.624, 0.892, 0.320)
N (0.626, 0.057, 0.158)
N (0.626, 0.443, 0.658)
N (0.647, 0.194, 0.331)
N (0.647, 0.306, 0.831)
O (0.025, 0.725, 0.983)
O (0.025, 0.775, 0.483)
O (0.041, 0.038, 0.830)
O (0.041, 0.462, 0.330)
O (0.110, 0.111, 0.344)
O (0.110, 0.389, 0.844)
O (0.202, 0.036, 0.049)
O (0.202, 0.464, 0.549)
O (0.256, 0.611, 0.931)
O (0.256, 0.889, 0.431)
O (0.309, 0.044, 0.266)
O (0.309, 0.456, 0.766)
O (0.316, 0.199, 0.443)
O (0.316, 0.301, 0.943)
O (0.684, 0.699, 0.057)
O (0.684, 0.801, 0.557)
O (0.691, 0.544, 0.234)
O (0.691, 0.956, 0.734)
O (0.744, 0.111, 0.569)
O (0.744, 0.389, 0.069)
O (0.798, 0.536, 0.451)
O (0.798, 0.964, 0.951)
O (0.890, 0.611, 0.156)
O (0.890, 0.889, 0.656)
O (0.959, 0.538, 0.670)
O (0.959, 0.962, 0.170)
O (0.975, 0.225, 0.517)
O (0.975, 0.275, 0.017)